This record from the Alexandria database describes a geometry-optimized Ac2YCrN4 structure. The functional is PBE-GGA.

The calculation puts the formation energy without anion corrections at -0.83 eV per atom. The uncorrected energy is -8.035 eV per atom.

It has space group Cmcm (No. 63), with a = 3.681 Å, b = 13.551 Å, c = 12.558 Å, α = 90.00°, β = 90.00° and γ = 90.00°. The inequivalent atoms are Ac at (0.000, 0.127, 0.036), Y at (0.000, 0.332, 0.250), Cr at (0.000, 0.325, 0.750), N at (0.000, 0.143, 0.250), N at (0.000, 0.228, 0.637) and N at (0.000, 0.500, 0.000).